# Na2CoSi4O10 PBE with a Hubbard U optimized geometry
data_Na2CoSi4O10
_space_group_name_H-M_alt 'P -1'
_space_group_IT_number 2
_cell_length_a 7.015
_cell_length_b 7.869
_cell_length_c 9.879
_cell_angle_alpha 102.11
_cell_angle_beta 102.30
_cell_angle_gamma 114.84
loop_
_space_group_symop_operation_xyz
'x,y,z'
'-x,-y,-z'
loop_
_atom_site_label
_atom_site_fract_x
_atom_site_fract_y
_atom_site_fract_z
Na1 0.156 0.268 0.484
Na2 0.238 0.776 0.922
Co1 0.255 0.193 0.081
Si1 0.112 0.872 0.241
Si2 0.265 0.572 0.302
Si3 0.311 0.119 0.748
Si4 0.410 0.787 0.638
O1 0.072 0.902 0.084
O2 0.074 0.122 0.682
O3 0.104 0.658 0.231
O4 0.155 0.339 0.220
O5 0.253 0.898 0.640
O6 0.286 0.604 0.478
O7 0.348 0.053 0.367
O8 0.386 0.145 0.918
O9 0.436 0.709 0.773
O10 0.482 0.292 0.697
# Total DFT energy (no corrections) in eV per atom: -7.09
# D(E_F) in states/eV/cell: 0.00